[1]
Entry from OQMD via LeMat-Bulk: a relaxed NaNdNi crystal (GGA-PBE).

Values from the calculation:
VASP energy: -3.283 eV/atom
Magnetization: 0.00 μB/atom

Unit cell a=4.8306 b=4.8306 c=4.8306 alpha=60.00 beta=60.00 gamma=60.00
Fractional positions:
Na1 0.0000 0.0000 0.0000
Nd1 0.2500 0.2500 0.2500
Ni1 0.5000 0.5000 0.5000

---

[2]
Entry from OQMD via LeMat-Bulk: a relaxed ZnFeReAg crystal (GGA-PBE).

Values from the calculation:
VASP energy: -5.611 eV/atom
Magnetization: 0.24 μB/atom

Unit cell a=4.3378 b=4.3378 c=4.3378 alpha=60.00 beta=60.00 gamma=60.00
Fractional positions:
Zn1 0.0000 0.0000 0.0000
Fe1 0.2500 0.2500 0.2500
Re1 0.5000 0.5000 0.5000
Ag1 0.7500 0.7500 0.7500